A geometry-optimized LiInGeS4 structure, computed with PBE.

Properties
formation energy from raw total energies: -59.8 kJ per mole of atoms
calculated density: 3.413 g/cm3
VASP energy: -4.3024 eV/atom
symmetry: Cmcm, No. 63

Structure (POSCAR):
```
LiInGeS4
1.0
3.654 -5.729 0.000
3.654 5.729 0.000
0.000 0.000 7.499
Li In Ge S
2 2 2 8
direct
0.000 0.000 0.000 Li
0.000 0.000 0.500 Li
0.358 0.642 0.750 In
0.642 0.358 0.250 In
0.357 0.643 0.250 Ge
0.643 0.357 0.750 Ge
0.233 0.767 0.021 S
0.233 0.767 0.479 S
0.245 0.278 0.250 S
0.278 0.245 0.750 S
0.722 0.755 0.250 S
0.755 0.722 0.750 S
0.767 0.233 0.521 S
0.767 0.233 0.979 S
```